Entry 1:
! P2RuIO, optimized geometry, DFT PBE; values from VASP
! offset from the most stable computed form	0	meV per atom
! uncorrected formation energy	0.21	eV/atom
! space group	P4/mmm
! E	-5.108	eV/atom
! density of states at the Fermi level	5.209	states/eV/cell
&SYSTEM
  ibrav = 0, nat = 5, ntyp = 4
/
ATOMIC_SPECIES
P 30.97 P.upf
O 16.00 O.upf
I 126.90 I.upf
Ru 101.07 Ru.upf
CELL_PARAMETERS angstrom
4.835 0.000 0.000
0.000 4.835 0.000
0.000 0.000 3.799
ATOMIC_POSITIONS crystal
P 0.000 0.500 0.000
P 0.500 0.000 0.000
O 0.000 0.000 0.500
I 0.500 0.500 0.500
Ru 0.000 0.000 0.000

Entry 2:
! PRuIO2, optimized geometry, DFT PBE; values from VASP
! offset from the most stable computed form	0	meV per atom
! uncorrected formation energy	-0.20	eV/atom
! space group	P4/mmm
! E	-5.433	eV/atom
! density of states at the Fermi level	4.122	states/eV/cell
&SYSTEM
  ibrav = 0, nat = 5, ntyp = 4
/
ATOMIC_SPECIES
I 126.90 I.upf
P 30.97 P.upf
Ru 101.07 Ru.upf
O 16.00 O.upf
CELL_PARAMETERS angstrom
-1.444 -2.622 -2.411
3.075 0.395 -2.271
2.520 -3.902 2.734
ATOMIC_POSITIONS crystal
I 0.500 0.500 0.500
P 0.000 0.000 0.500
Ru 0.000 0.000 0.000
O 0.500 0.000 0.000
O 0.000 0.500 0.000

Entry 3:
! P2SIO, optimized geometry, DFT PBE; values from VASP
! offset from the most stable computed form	555	meV per atom
! uncorrected formation energy	1.22	eV/atom
! space group	P4/mmm
! E	-3.071	eV/atom
! density of states at the Fermi level	3.675	states/eV/cell
&SYSTEM
  ibrav = 0, nat = 5, ntyp = 4
/
ATOMIC_SPECIES
I 126.90 I.upf
S 32.06 S.upf
P 30.97 P.upf
O 16.00 O.upf
CELL_PARAMETERS angstrom
-2.609 -4.512 0.317
1.334 -1.117 -4.923
3.225 -1.775 1.276
ATOMIC_POSITIONS crystal
I 0.000 0.000 0.000
S 0.500 0.500 0.500
P 0.000 0.500 0.000
P 0.500 0.000 0.000
O 0.000 0.000 0.500

Entry 4:
! P2SIO, optimized geometry, DFT PBE; values from VASP
! offset from the most stable computed form	7	meV per atom
! uncorrected formation energy	0.67	eV/atom
! space group	P4/mmm
! E	-3.619	eV/atom
! density of states at the Fermi level	4.947	states/eV/cell
&SYSTEM
  ibrav = 0, nat = 5, ntyp = 4
/
ATOMIC_SPECIES
I 126.90 I.upf
S 32.06 S.upf
P 30.97 P.upf
O 16.00 O.upf
CELL_PARAMETERS angstrom
3.907 0.000 0.000
0.000 3.907 0.000
0.000 0.000 7.663
ATOMIC_POSITIONS crystal
I 0.500 0.500 0.500
S 0.000 0.000 0.500
P 0.500 0.000 0.000
P 0.000 0.500 0.000
O 0.000 0.000 0.000